w.
This record from the Alexandria database describes Tl3Au after structural relaxation. The functional is PBE.

Calculated values
Calculated density, g cm⁻³: 12.10
DOS at the Fermi energy, states/eV/atom: 0.375

Cell: 3.724 5.108 5.846 Å, 90.00 90.00 90.00°
Space group Pmm2 (No. 25)
Symmetry-distinct sites (fractional):
1 Tl 0.000 0.000 0.000 (multiplicity 1)
2 Tl 0.000 0.500 0.363 (multiplicity 1)
3 Tl 0.500 0.500 0.829 (multiplicity 1)
4 Au 0.500 0.000 0.520 (multiplicity 1)


x.
This record from the Alexandria database describes Tl3Au after structural relaxation. The functional is PBE.

Calculated values
Calculated density, g cm⁻³: 11.57
DOS at the Fermi energy, states/eV/atom: 0.331

Cell: 9.423 12.257 4.026 Å, 90.00 90.00 90.00°
Space group Cmcm (No. 63)
Symmetry-distinct sites (fractional):
1 Tl 0.000 0.110 0.250 (multiplicity 4)
2 Tl 0.203 0.382 0.250 (multiplicity 8)
3 Au 0.000 0.291 0.750 (multiplicity 4)


y.
This record from the Alexandria database describes Tl3Au after structural relaxation. The functional is PBE.

Calculated values
Calculated density, g cm⁻³: 7.49
DOS at the Fermi energy, states/eV/atom: 0.802

Cell: 5.642 5.642 5.642 Å, 90.00 90.00 90.00°
Space group Pm-3m (No. 221)
Symmetry-distinct sites (fractional):
1 Tl 0.000 0.000 0.500 (multiplicity 3)
2 Au 0.000 0.000 0.000 (multiplicity 1)


In eV/atom, relative to the most stable structure: w 0.071; x 0.000; y 0.274.


w.
This record from the Alexandria database describes Tl5Au after structural relaxation. The functional is PBE.

Calculated values
Calculated density, g cm⁻³: 10.24
DOS at the Fermi energy, states/eV/atom: 0.491

Cell: 6.1343 6.1343 6.0649 Å, 90.00 90.00 120.00°
Space group P6/mmm (No. 191)
Symmetry-distinct sites (fractional):
1 Tl 0.0000 0.5000 0.0000 (multiplicity 3)
2 Tl 0.3333 0.6667 0.5000 (multiplicity 2)
3 Au 0.0000 0.0000 0.5000 (multiplicity 1)


x.
This record from the Alexandria database describes Tl5Au after structural relaxation. The functional is PBE.

Calculated values
Calculated density, g cm⁻³: 11.91
DOS at the Fermi energy, states/eV/atom: 0.353

Cell: 4.802 14.450 4.897 Å, 90.00 90.00 90.00°
Space group Cmmm (No. 65)
Symmetry-distinct sites (fractional):
1 Tl 0.000 0.000 0.000 (multiplicity 2)
2 Tl 0.000 0.155 0.500 (multiplicity 4)
3 Tl 0.000 0.342 0.000 (multiplicity 4)
4 Au 0.000 0.500 0.500 (multiplicity 2)


y.
This record from the Alexandria database describes Tl5Au after structural relaxation. The functional is PBE.

Calculated values
Calculated density, g cm⁻³: 11.72
DOS at the Fermi energy, states/eV/atom: 0.467

Cell: 12.606 3.766 7.631 Å, 90.00 107.59 90.00°
Space group Cm (No. 8)
Symmetry-distinct sites (fractional):
1 Tl 0.000 0.000 0.000 (multiplicity 2)
2 Tl 0.018 0.000 0.455 (multiplicity 2)
3 Tl 0.190 0.500 0.840 (multiplicity 2)
4 Tl 0.208 0.500 0.296 (multiplicity 2)
5 Tl 0.354 0.000 0.648 (multiplicity 2)
6 Au 0.354 0.000 0.147 (multiplicity 2)


In eV/atom, relative to the most stable structure: w 0.261; x 0.025; y 0.000.


w.
This record from the Alexandria database describes TlAu4 after structural relaxation. The functional is PBE.

Calculated values
Calculated density, g cm⁻³: 11.43
DOS at the Fermi energy, states/eV/atom: 0.562

Cell: 5.243 5.243 5.243 Å, 90.00 90.00 90.00°
Space group Pm-3m (No. 221)
Symmetry-distinct sites (fractional):
1 Tl 0.000 0.000 0.000 (multiplicity 1)
2 Au 0.000 0.000 0.500 (multiplicity 3)
3 Au 0.500 0.500 0.500 (multiplicity 1)


x.
This record from the Alexandria database describes TlAu4 after structural relaxation. The functional is PBE.

Calculated values
Calculated density, g cm⁻³: 15.05
DOS at the Fermi energy, states/eV/atom: 0.241

Cell: 3.983 3.983 13.800 Å, 90.00 90.00 90.00°
Space group I4/mmm (No. 139)
Symmetry-distinct sites (fractional):
1 Tl 0.000 0.000 0.000 (multiplicity 2)
2 Au 0.000 0.000 0.400 (multiplicity 4)
3 Au 0.000 0.500 0.250 (multiplicity 4)


y.
This record from the Alexandria database describes TlAu4 after structural relaxation. The functional is PBE.

Calculated values
Calculated density, g cm⁻³: 14.37
DOS at the Fermi energy, states/eV/atom: 0.300

Cell: 8.978 5.588 5.869 Å, 90.00 128.82 90.00°
Space group C2/m (No. 12)
Symmetry-distinct sites (fractional):
1 Tl 0.000 0.000 0.000 (multiplicity 2)
2 Au 0.000 0.251 0.500 (multiplicity 4)
3 Au 0.171 0.500 0.032 (multiplicity 4)


z.
This record from the Alexandria database describes TlAu4 after structural relaxation. The functional is PBE.

Calculated values
Calculated density, g cm⁻³: 16.03
DOS at the Fermi energy, states/eV/atom: 0.300

Cell: 7.715 7.715 3.454 Å, 90.00 90.00 90.00°
Space group I4/m (No. 87)
Symmetry-distinct sites (fractional):
1 Tl 0.000 0.000 0.000 (multiplicity 2)
2 Au 0.140 0.344 0.500 (multiplicity 8)


In eV/atom, relative to the most stable structure: w 0.894; x 0.000; y 0.068; z 0.007.


w.
This record from the Alexandria database describes Tl3Au5 after structural relaxation. The functional is PBE.

Calculated values
Calculated density, g cm⁻³: 14.24
DOS at the Fermi energy, states/eV/atom: 0.263

Cell: 5.405 7.690 9.380 Å, 85.82 78.80 77.07°
Space group P-1 (No. 2)
Symmetry-distinct sites (fractional):
1 Tl 0.051 0.024 0.190 (multiplicity 2)
2 Tl 0.196 0.659 0.427 (multiplicity 2)
3 Tl 0.442 0.171 0.374 (multiplicity 2)
4 Au 0.049 0.586 0.736 (multiplicity 2)
5 Au 0.050 0.677 0.032 (multiplicity 2)
6 Au 0.319 0.213 0.699 (multiplicity 2)
7 Au 0.475 0.475 0.162 (multiplicity 2)
8 Au 0.481 0.186 0.983 (multiplicity 2)


x.
This record from the Alexandria database describes Tl3Au5 after structural relaxation. The functional is PBE.

Calculated values
Calculated density, g cm⁻³: 14.09
DOS at the Fermi energy, states/eV/atom: 0.287

Cell: 9.1096 9.1096 5.2412 Å, 90.00 90.00 120.00°
Space group P6_3/mcm (No. 193)
Symmetry-distinct sites (fractional):
1 Tl 0.0000 0.3833 0.2500 (multiplicity 6)
2 Au 0.0000 0.1826 0.7500 (multiplicity 6)
3 Au 0.3333 0.6667 0.0000 (multiplicity 4)


y.
This record from the Alexandria database describes Tl3Au5 after structural relaxation. The functional is PBE.

Calculated values
Calculated density, g cm⁻³: 14.92
DOS at the Fermi energy, states/eV/atom: 0.277

Cell: 6.986 9.384 5.425 Å, 90.00 90.00 90.00°
Space group Cmmm (No. 65)
Symmetry-distinct sites (fractional):
1 Tl 0.000 0.000 0.000 (multiplicity 2)
2 Tl 0.000 0.225 0.500 (multiplicity 4)
3 Au 0.000 0.500 0.000 (multiplicity 2)
4 Au 0.203 0.500 0.500 (multiplicity 4)
5 Au 0.250 0.250 0.000 (multiplicity 4)


In eV/atom, relative to the most stable structure: w 0.000; x 0.074; y 0.085.